Record 1
Computed, not measured: crystalline TlWAu2 at its relaxed geometry at the GGA-PBE level of DFT.

Values from the calculation:
Total energy   -19.260 eV/f.u.
Density   16.5 Mg/m³

Cell lengths 5.290, 5.290, 2.813 Å; angles 90.00, 90.00, 90.00 degrees
Positions (direct):
Tl  0.000  0.000  0.000
W  0.500  0.500  0.000
Au  0.000  0.500  0.500
Au  0.500  0.000  0.500

Record 2
Computed, not measured: crystalline TlWAu2 at its relaxed geometry at the GGA-PBE level of DFT.

Values from the calculation:
Total energy   -18.682 eV/f.u.
Density   17.0 Mg/m³

Cell lengths 4.335, 4.335, 8.113 Å; angles 90.00, 90.00, 90.00 degrees
Positions (direct):
Tl  0.000  0.000  0.000
Tl  0.500  0.500  0.500
W  0.000  0.500  0.750
W  0.500  0.000  0.250
Au  0.000  0.000  0.500
Au  0.000  0.500  0.250
Au  0.500  0.000  0.750
Au  0.500  0.500  0.000

Record 3
Computed, not measured: crystalline YTlWAu2 at its relaxed geometry at the GGA-PBE level of DFT.

Values from the calculation:
Total energy   -20.511 eV/f.u.
Density   9.6 Mg/m³

Cell lengths 5.144, 5.144, 5.710 Å; angles 90.00, 90.00, 90.00 degrees
Positions (direct):
Y  0.000  0.000  0.000
Tl  0.000  0.000  0.500
W  0.500  0.500  0.000
Au  0.000  0.500  0.500
Au  0.500  0.000  0.500

Record 4
Computed, not measured: crystalline Y2TlAu at its relaxed geometry at the GGA-PBE level of DFT.

Values from the calculation:
Total energy   -18.955 eV/f.u.
Density   9.6 Mg/m³

Cell lengths 7.382, 7.382, 7.382 Å; angles 90.00, 90.00, 90.00 degrees
Positions (direct):
Y  0.000  0.000  0.000
Y  0.000  0.500  0.500
Y  0.250  0.250  0.250
Y  0.250  0.750  0.750
Y  0.500  0.000  0.500
Y  0.500  0.500  0.000
Y  0.750  0.250  0.750
Y  0.750  0.750  0.250
Tl  0.000  0.000  0.500
Tl  0.000  0.500  0.000
Tl  0.500  0.000  0.000
Tl  0.500  0.500  0.500
Au  0.250  0.250  0.750
Au  0.250  0.750  0.250
Au  0.750  0.250  0.250
Au  0.750  0.750  0.750

Record 5
Computed, not measured: crystalline YTlAu4 at its relaxed geometry at the GGA-PBE level of DFT.

Values from the calculation:
Total energy   -24.138 eV/f.u.
Density   14.1 Mg/m³

Cell lengths 5.650, 5.650, 5.650 Å; angles 60.00, 60.00, 60.00 degrees
Positions (direct):
Y  0.000  0.000  0.000
Tl  0.250  0.250  0.250
Au  0.125  0.625  0.625
Au  0.625  0.125  0.625
Au  0.625  0.625  0.125
Au  0.625  0.625  0.625

Record 6
Computed, not measured: crystalline YTlAu at its relaxed geometry at the GGA-PBE level of DFT.

Values from the calculation:
Total energy   -13.638 eV/f.u.
Density   11.3 Mg/m³

Cell lengths 4.886, 4.886, 3.471 Å; angles 90.00, 90.00, 120.00 degrees
Positions (direct):
Y  0.000  0.000  0.000
Tl  0.333  0.667  0.500
Au  0.667  0.333  0.500

Record 7
Computed, not measured: crystalline Y2TlAu at its relaxed geometry at the GGA-PBE level of DFT.

Values from the calculation:
Total energy   -20.883 eV/f.u.
Density   9.4 Mg/m³

Cell lengths 5.248, 5.248, 3.703 Å; angles 90.00, 90.00, 90.00 degrees
Positions (direct):
Y  0.000  0.500  0.000
Y  0.500  0.000  0.000
Tl  0.000  0.000  0.500
Au  0.500  0.500  0.500

Record 8
Computed, not measured: crystalline Y2TlAu at its relaxed geometry at the GGA-PBE level of DFT.

Values from the calculation:
Total energy   -19.775 eV/f.u.
Density   8.3 Mg/m³

Cell lengths 8.040, 8.040, 7.143 Å; angles 90.00, 90.00, 90.00 degrees
Positions (direct):
Y  0.222  0.250  0.125
Y  0.250  0.722  0.375
Y  0.250  0.778  0.875
Y  0.278  0.250  0.625
Y  0.722  0.750  0.625
Y  0.750  0.222  0.875
Y  0.750  0.278  0.375
Y  0.778  0.750  0.125
Tl  0.000  0.000  0.500
Tl  0.000  0.500  0.750
Tl  0.500  0.000  0.250
Tl  0.500  0.500  0.000
Au  0.000  0.000  0.000
Au  0.000  0.500  0.250
Au  0.500  0.000  0.750
Au  0.500  0.500  0.500

V readings, ordered: 19.678, 19.063, 30.220, 25.140, 21.260, 23.922, 25.500, 28.858 Å³ per atom